VASP calculation (PBE) on crystalline Ti2CuOs at its relaxed geometry.

Lattice parameters (Å, degrees): 4.377 5.353 5.353 110.28 90.00 90.00
Fractional coordinates of all 8 atoms:
Ti1 0.250 0.875 0.627
Ti2 0.250 0.373 0.125
Os1 0.250 0.872 0.128
Ti3 0.750 0.125 0.373
Cu1 0.250 0.372 0.628
Ti4 0.750 0.627 0.875
Os2 0.750 0.128 0.872
Cu2 0.750 0.628 0.372

* energy of formation from the pure elements: -38 kJ per mole of atoms
* symmetry: Cmcm
* volume: 58.8 Å³/f.u.
* DFT total energy: -8.168 eV/atom
* magnetic moment: 0.000 μB per atom